A plane-wave DFT calculation with PBE was carried out for crystalline Hf2NbH at its relaxed geometry.

a b c (Å): 6.5389 6.5389 6.5389
angles (deg): 90.00 90.00 90.00
Last column: nearest neighbours and their distance in Å.
Space group Fm-3m (No. 225)
Unique sites:
1 Hf 0.2500 0.2500 0.2500 (multiplicity 8)  4 H 2.83, 4 Nb 2.83
2 Nb 0.0000 0.0000 0.0000 (multiplicity 4)  8 Hf 2.83
3 H 0.0000 0.0000 0.5000 (multiplicity 4)  8 Hf 2.83

Results
ΔE to the lowest computed polymorph	667.7	meV/atom
V	17.47	Å³/atom

A plane-wave DFT calculation with PBE was carried out for crystalline Hf2NbH at its relaxed geometry.

a b c (Å): 2.9323 2.9323 7.5289
angles (deg): 90.00 90.00 90.00
Last column: nearest neighbours and their distance in Å.
Space group P4/mmm (No. 123)
Unique sites:
1 Hf 0.0000 0.0000 0.1930 (multiplicity 2)  4 H 2.53
2 Nb 0.5000 0.5000 0.5000 (multiplicity 1)  4 Nb 2.93, 8 Hf 3.11
3 H 0.5000 0.5000 0.0000 (multiplicity 1)  8 Hf 2.53

Results
ΔE to the lowest computed polymorph	240.9	meV/atom
V	16.18	Å³/atom

A plane-wave DFT calculation with PBE was carried out for crystalline HfNb2H2 at its relaxed geometry.

a b c (Å): 3.4265 3.5838 10.3936
angles (deg): 90.00 90.00 90.00
Last column: nearest neighbours and their distance in Å.
Space group Immm (No. 71)
Unique sites:
1 Hf 0.0000 0.0000 0.0000 (multiplicity 2)  8 H 3.00-3.27, 8 Nb 3.02
2 Nb 0.0000 0.0000 0.3342 (multiplicity 4)  4 H 1.94-1.99
3 H 0.0000 0.5000 0.2629 (multiplicity 4)  4 Nb 1.94-1.99

Results
ΔE to the lowest computed polymorph	112.0	meV/atom
V	12.76	Å³/atom

A plane-wave DFT calculation with PBE was carried out for crystalline Hf2NbH2 at its relaxed geometry.

a b c (Å): 3.1590 3.1590 13.6582
angles (deg): 90.00 90.00 90.00
Last column: nearest neighbours and their distance in Å.
Space group I4/mmm (No. 139)
Unique sites:
1 Hf 0.0000 0.0000 0.1507 (multiplicity 4)  4 H 2.08
2 Nb 0.0000 0.0000 0.5000 (multiplicity 2)  8 Hf 3.04, 4 Nb 3.16
3 H 0.0000 0.5000 0.2500 (multiplicity 4)  4 Hf 2.08, 4 H 2.23

Results
V	13.63	Å³/atom
electronic total energy	-75.79	eV per cell

A plane-wave DFT calculation with PBE was carried out for crystalline HfNb3H8 at its relaxed geometry.

a b c (Å): 4.6015 4.6015 9.1705
angles (deg): 90.00 90.00 90.00
Last column: nearest neighbours and their distance in Å.
Space group I4/mmm (No. 139)
Unique sites:
1 Hf 0.0000 0.0000 0.0000 (multiplicity 2)  8 H 2.02
2 Nb 0.0000 0.0000 0.5000 (multiplicity 2)  8 H 1.99
3 Nb 0.0000 0.5000 0.2500 (multiplicity 4)  8 H 1.98
4 H 0.2468 0.2468 0.3728 (multiplicity 16)  3 Nb 1.98-1.99, 1 Hf 2.02

Results
V	8.09	Å³/atom
electronic total energy	-141.57	eV per cell

A plane-wave DFT calculation with PBE was carried out for crystalline Hf4NbH10 at its relaxed geometry.

a b c (Å): 7.2974 7.2974 4.8004
angles (deg): 90.00 90.00 90.00
Last column: nearest neighbours and their distance in Å.
Space group I4/m (No. 87)
Unique sites:
1 Hf 0.1038 0.7009 0.0000 (multiplicity 8)  8 H 2.03-2.04
2 Nb 0.0000 0.0000 0.5000 (multiplicity 2)  8 H 2.00
3 H 0.0000 0.5000 0.2500 (multiplicity 4)  4 Hf 2.04
4 H 0.0961 0.1970 0.2511 (multiplicity 16)  1 Nb 2.00, 3 Hf 2.03

Results
V	8.52	Å³/atom
electronic total energy	-180.17	eV per cell

Q: Number 1 is which compound?
A: Hf2NbH

Please write out number 4 again, unchanged.
A plane-wave DFT calculation with PBE was carried out for crystalline Hf2NbH2 at its relaxed geometry.

a b c (Å): 3.1590 3.1590 13.6582
angles (deg): 90.00 90.00 90.00
Last column: nearest neighbours and their distance in Å.
Space group I4/mmm (No. 139)
Unique sites:
1 Hf 0.0000 0.0000 0.1507 (multiplicity 4)  4 H 2.08
2 Nb 0.0000 0.0000 0.5000 (multiplicity 2)  8 Hf 3.04, 4 Nb 3.16
3 H 0.0000 0.5000 0.2500 (multiplicity 4)  4 Hf 2.08, 4 H 2.23

Results
V	13.63	Å³/atom
electronic total energy	-75.79	eV per cell

Q: V of number 2 (Hf2NbH)?
A: 16.18 Å³/atom